No. 1
# Be2TcOs

Be2TcOs after structural relaxation (PBE, Alexandria). Values from VASP.

```
&SYSTEM
  ibrav = 0, nat = 4, ntyp = 3
/
ATOMIC_SPECIES
Be 9.01 Be.upf
Tc 98.00 Tc.upf
Os 190.23 Os.upf
ATOMIC_POSITIONS crystal
Be 0.000 0.000 0.000
Be 0.500 0.136 0.136
Tc 0.500 0.408 0.408
Os 0.000 0.724 0.724
CELL_PARAMETERS angstrom
3.674 0.000 0.000
0.000 1.405 4.273
0.000 -1.405 4.273
```

Values from the calculation:
**Size of the total moment**: 0.00 Bohr magnetons per cell
**Formation energy**: -172 meV/atom
**DFT total energy**: -7.43 eV per atom
**Crystal system**: orthorhombic

No. 2
# Be2TcOs

Be2TcOs after structural relaxation (PBE, Alexandria). Values from VASP.

```
&SYSTEM
  ibrav = 0, nat = 4, ntyp = 3
/
ATOMIC_SPECIES
Be 9.01 Be.upf
Tc 98.00 Tc.upf
Os 190.23 Os.upf
ATOMIC_POSITIONS crystal
Be 0.000 0.000 0.236
Be 0.000 0.000 0.764
Tc 0.500 0.500 0.500
Os 0.500 0.500 0.000
CELL_PARAMETERS angstrom
2.811 0.000 0.000
0.000 2.811 0.000
0.000 0.000 5.644
```

Values from the calculation:
**Size of the total moment**: 0.00 Bohr magnetons per cell
**Formation energy**: -42 meV/atom
**DFT total energy**: -7.30 eV per atom
**Crystal system**: tetragonal

No. 3
# Be2TcOs

Be2TcOs after structural relaxation (PBE, Alexandria). Values from VASP.

```
&SYSTEM
  ibrav = 0, nat = 4, ntyp = 3
/
ATOMIC_SPECIES
Be 9.01 Be.upf
Tc 98.00 Tc.upf
Os 190.23 Os.upf
ATOMIC_POSITIONS crystal
Be 0.000 0.000 0.247
Be 0.000 0.000 0.753
Tc 0.500 0.500 0.500
Os 0.500 0.500 0.000
CELL_PARAMETERS angstrom
1.473 -2.149 0.000
1.473 2.149 0.000
0.000 0.000 7.527
```

Values from the calculation:
**Size of the total moment**: 0.00 Bohr magnetons per cell
**Formation energy**: 104 meV/atom
**DFT total energy**: -7.16 eV per atom
**Crystal system**: orthorhombic

No. 4
# Be2TcOs

Be2TcOs after structural relaxation (PBE, Alexandria). Values from VASP.

```
&SYSTEM
  ibrav = 0, nat = 4, ntyp = 3
/
ATOMIC_SPECIES
Be 9.01 Be.upf
Tc 98.00 Tc.upf
Os 190.23 Os.upf
ATOMIC_POSITIONS crystal
Be 0.250 0.250 0.250
Be 0.750 0.750 0.750
Tc 0.000 0.000 0.000
Os 0.500 0.500 0.500
CELL_PARAMETERS angstrom
0.000 2.814 2.814
2.814 0.000 2.814
2.814 2.814 0.000
```

Values from the calculation:
**Size of the total moment**: 0.00 Bohr magnetons per cell
**Formation energy**: -15 meV/atom
**DFT total energy**: -7.28 eV per atom
**Crystal system**: cubic

No. 5
# YBeTcOs2

YBeTcOs2 after structural relaxation (PBE, Alexandria). Values from VASP.

```
&SYSTEM
  ibrav = 0, nat = 5, ntyp = 4
/
ATOMIC_SPECIES
Y 88.91 Y.upf
Be 9.01 Be.upf
Tc 98.00 Tc.upf
Os 190.23 Os.upf
ATOMIC_POSITIONS crystal
Y 0.000 0.000 0.000
Be 0.000 0.000 0.500
Tc 0.500 0.500 0.000
Os 0.000 0.500 0.500
Os 0.500 0.000 0.500
CELL_PARAMETERS angstrom
4.183 0.000 0.000
0.000 4.183 0.000
0.000 0.000 4.598
```

Values from the calculation:
**Size of the total moment**: 1.00 Bohr magnetons per cell
**Formation energy**: 726 meV/atom
**DFT total energy**: -7.88 eV per atom
**Crystal system**: tetragonal

No. 6
# BeZnTcOs2

BeZnTcOs2 after structural relaxation (PBE, Alexandria). Values from VASP.

```
&SYSTEM
  ibrav = 0, nat = 5, ntyp = 4
/
ATOMIC_SPECIES
Be 9.01 Be.upf
Zn 65.41 Zn.upf
Tc 98.00 Tc.upf
Os 190.23 Os.upf
ATOMIC_POSITIONS crystal
Be 0.000 0.000 0.000
Zn 0.000 0.000 0.500
Tc 0.500 0.500 0.000
Os 0.000 0.500 0.500
Os 0.500 0.000 0.500
CELL_PARAMETERS angstrom
4.544 0.000 0.000
0.000 4.544 0.000
0.000 0.000 3.792
```

Values from the calculation:
**Size of the total moment**: 3.05 Bohr magnetons per cell
**Formation energy**: 1649 meV/atom
**DFT total energy**: -5.92 eV per atom
**Crystal system**: tetragonal

> The lowest formation energy belongs to which entry?

number 1